# YSi2Hg, optimized geometry, DFT PBE
data_YSi2Hg
_chemical_formula_sum 'Y2 Si4 Hg2'
_cell_length_a 7.5279
_cell_length_b 7.5279
_cell_length_c 6.1488
_cell_angle_alpha 52.26
_cell_angle_beta 52.26
_cell_angle_gamma 90.00
_space_group_name_H-M_alt 'P 1'
_space_group_IT_number 1
loop_
_space_group_symop_operation_xyz
'x,y,z'
loop_
_atom_site_label
_atom_site_type_symbol
_atom_site_fract_x
_atom_site_fract_y
_atom_site_fract_z
Y1 Y 0.5000 0.5000 0.0000
Y2 Y 0.2500 0.7500 0.5000
Si1 Si 0.6582 0.1250 0.2500
Si2 Si 0.0918 0.6250 0.2500
Si3 Si 0.3750 0.3418 0.7500
Si4 Si 0.8750 0.9082 0.7500
Hg1 Hg 0.0000 0.0000 0.0000
Hg2 Hg 0.7500 0.2500 0.5000
# Raw total energy (eV per atom): -4.38
# Energy relative to the elements, uncorrected (kcal/mol of atoms): 0.62